No. 1
Material: TaTe3
Method: DFT, GGA-PBE
State: relaxed Values from VASP.

```
&SYSTEM
  ibrav = 0, nat = 4, ntyp = 2
/
ATOMIC_SPECIES
Te 127.60 Te.upf
Ta 180.95 Ta.upf
ATOMIC_POSITIONS crystal
Te 0.830 0.330 0.500
Te 0.170 0.670 0.500
Te 0.500 0.500 0.000
Ta 0.000 0.000 0.000
CELL_PARAMETERS angstrom
-5.512 -4.563 -1.358
-0.373 -5.872 -4.293
2.884 3.800 5.504
```

Output
- SG: No. 71

=====

No. 2
Material: TaTe3
Method: DFT, GGA-PBE
State: relaxed Values from VASP.

```
&SYSTEM
  ibrav = 0, nat = 4, ntyp = 2
/
ATOMIC_SPECIES
Te 127.60 Te.upf
Ta 180.95 Ta.upf
ATOMIC_POSITIONS crystal
Te 0.000 0.500 0.318
Te 0.500 0.500 0.895
Te 0.500 0.000 0.372
Ta 0.000 0.000 0.081
CELL_PARAMETERS angstrom
3.812 0.000 0.000
0.000 4.590 0.000
0.000 0.000 7.140
```

Output
- SG: No. 25

=====

No. 3
Material: TaTe
Method: DFT, GGA-PBE
State: relaxed Values from VASP.

```
&SYSTEM
  ibrav = 0, nat = 4, ntyp = 2
/
ATOMIC_SPECIES
Te 127.60 Te.upf
Ta 180.95 Ta.upf
ATOMIC_POSITIONS crystal
Te 0.638 0.362 0.750
Te 0.362 0.638 0.250
Ta 0.078 0.922 0.250
Ta 0.922 0.078 0.750
CELL_PARAMETERS angstrom
5.417 -0.006 0.000
-4.199 3.423 0.000
0.000 0.000 4.715
```

Output
- SG: No. 63

=====

No. 4
Material: TaTe3
Method: DFT, GGA-PBE
State: relaxed Values from VASP.

```
&SYSTEM
  ibrav = 0, nat = 16, ntyp = 2
/
ATOMIC_SPECIES
Te 127.60 Te.upf
Ta 180.95 Ta.upf
ATOMIC_POSITIONS crystal
Te 0.141 0.987 0.750
Te 0.847 0.664 0.572
Te 0.641 0.513 0.250
Te 0.653 0.164 0.928
Te 0.859 0.013 0.250
Te 0.153 0.336 0.428
Te 0.653 0.164 0.572
Te 0.847 0.664 0.928
Te 0.347 0.836 0.072
Te 0.359 0.487 0.750
Te 0.153 0.336 0.072
Te 0.347 0.836 0.428
Ta 0.477 0.156 0.250
Ta 0.023 0.656 0.250
Ta 0.977 0.344 0.750
Ta 0.523 0.844 0.750
CELL_PARAMETERS angstrom
6.771 0.000 0.000
0.000 7.092 0.000
0.000 0.000 8.737
```

Output
- SG: No. 62

=====

No. 5
Material: TaTe3
Method: DFT, GGA-PBE
State: relaxed Values from VASP.

```
&SYSTEM
  ibrav = 0, nat = 4, ntyp = 2
/
ATOMIC_SPECIES
Te 127.60 Te.upf
Ta 180.95 Ta.upf
ATOMIC_POSITIONS crystal
Te 0.667 0.333 0.183
Te 0.000 0.000 0.500
Te 0.667 0.333 0.817
Ta 0.000 0.000 0.000
CELL_PARAMETERS angstrom
3.576 0.000 0.000
-1.788 3.097 0.000
0.000 0.000 10.333
```

Output
- SG: No. 187

=====

No. 6
Material: Ta4Te3
Method: DFT, GGA-PBE
State: relaxed Values from VASP.

```
&SYSTEM
  ibrav = 0, nat = 7, ntyp = 2
/
ATOMIC_SPECIES
Ta 180.95 Ta.upf
Te 127.60 Te.upf
ATOMIC_POSITIONS crystal
Ta 0.000 0.000 0.254
Ta 0.667 0.333 0.500
Ta 0.333 0.667 0.500
Ta 0.000 0.000 0.746
Te 0.500 0.000 0.000
Te 0.000 0.500 0.000
Te 0.500 0.500 0.000
CELL_PARAMETERS angstrom
2.917 -5.052 0.000
2.917 5.052 0.000
0.000 0.000 5.100
```

Output
- SG: No. 191

=====

It is found that the E_form (uncorrected) values, taken in the order of the records, are 0.11; 0.27; 0.11; -0.07; -0.03; 1.07 eV/atom.